{
  "formula": "La2PmSe4",
  "functional": "PBE-GGA",
  "state": "optimized geometry",
  "lattice": [[2.060, -7.153, 0.000], [2.060, 7.153, 0.000], [0.000, 0.000, 14.246]],
  "species": ["La", "La", "La", "La", "Pm", "Pm", "Se", "Se", "Se", "Se", "Se", "Se", "Se", "Se"],
  "fractional_positions": [[0.130, 0.870, 0.572], [0.130, 0.870, 0.928], [0.870, 0.130, 0.072], [0.870, 0.130, 0.428], [0.373, 0.627, 0.750], [0.627, 0.373, 0.250], [0.022, 0.978, 0.750], [0.221, 0.779, 0.125], [0.221, 0.779, 0.375], [0.500, 0.500, 0.000], [0.500, 0.500, 0.500], [0.779, 0.221, 0.625], [0.779, 0.221, 0.875], [0.978, 0.022, 0.250]],
  "relative_energy_mev_per_atom": 10,
  "formation_energy_uncorrected_ev_per_atom": -1.930,
  "volume_a3_per_atom": 30.00,
  "dos_at_fermi_per_ev_atom": 0.30
}

---

{
  "formula": "LaPmSe2",
  "functional": "PBE-GGA",
  "state": "optimized geometry",
  "lattice": [[4.196, 0.000, 0.000], [-2.098, 3.634, 0.000], [0.000, 0.000, 14.319]],
  "species": ["La", "La", "Pm", "Pm", "Se", "Se", "Se", "Se"],
  "fractional_positions": [[0.000, 0.000, 0.000], [0.000, 0.000, 0.500], [0.333, 0.667, 0.250], [0.667, 0.333, 0.750], [0.333, 0.667, 0.627], [0.333, 0.667, 0.873], [0.667, 0.333, 0.127], [0.667, 0.333, 0.373]],
  "relative_energy_mev_per_atom": 19,
  "formation_energy_uncorrected_ev_per_atom": -1.904,
  "volume_a3_per_atom": 27.29,
  "dos_at_fermi_per_ev_atom": 0.37
}

---

{
  "formula": "La4PmSe5",
  "functional": "PBE-GGA",
  "state": "optimized geometry",
  "lattice": [[-2.144, 2.144, 15.193], [2.144, -2.144, 15.193], [2.144, 2.144, -15.193]],
  "species": ["La", "La", "La", "La", "Pm", "Se", "Se", "Se", "Se", "Se"],
  "fractional_positions": [[0.099, 0.099, 0.000], [0.300, 0.300, 0.000], [0.700, 0.700, 0.000], [0.901, 0.901, 0.000], [0.500, 0.500, 0.000], [0.000, 0.000, 0.000], [0.200, 0.200, 0.000], [0.401, 0.401, 0.000], [0.599, 0.599, 0.000], [0.800, 0.800, 0.000]],
  "formation_energy_uncorrected_ev_per_atom": -1.963,
  "volume_a3_per_atom": 27.95,
  "dos_at_fermi_per_ev_atom": 0.61
}

---

{
  "formula": "LaPm4Se5",
  "functional": "PBE-GGA",
  "state": "optimized geometry",
  "lattice": [[-2.109, 2.109, 14.950], [2.109, -2.109, 14.950], [2.109, 2.109, -14.950]],
  "species": ["La", "Pm", "Pm", "Pm", "Pm", "Se", "Se", "Se", "Se", "Se"],
  "fractional_positions": [[0.000, 0.000, 0.000], [0.199, 0.199, 0.000], [0.398, 0.398, 0.000], [0.602, 0.602, 0.000], [0.801, 0.801, 0.000], [0.101, 0.101, 0.000], [0.299, 0.299, 0.000], [0.500, 0.500, 0.000], [0.701, 0.701, 0.000], [0.899, 0.899, 0.000]],
  "formation_energy_uncorrected_ev_per_atom": -1.863,
  "volume_a3_per_atom": 26.60,
  "dos_at_fermi_per_ev_atom": 0.45
}

---

Repeat the fourth record exactly.
{
  "formula": "LaPm4Se5",
  "functional": "PBE-GGA",
  "state": "optimized geometry",
  "lattice": [[-2.109, 2.109, 14.950], [2.109, -2.109, 14.950], [2.109, 2.109, -14.950]],
  "species": ["La", "Pm", "Pm", "Pm", "Pm", "Se", "Se", "Se", "Se", "Se"],
  "fractional_positions": [[0.000, 0.000, 0.000], [0.199, 0.199, 0.000], [0.398, 0.398, 0.000], [0.602, 0.602, 0.000], [0.801, 0.801, 0.000], [0.101, 0.101, 0.000], [0.299, 0.299, 0.000], [0.500, 0.500, 0.000], [0.701, 0.701, 0.000], [0.899, 0.899, 0.000]],
  "formation_energy_uncorrected_ev_per_atom": -1.863,
  "volume_a3_per_atom": 26.60,
  "dos_at_fermi_per_ev_atom": 0.45
}